Here is crystalline ZnGeB4 at its relaxed geometry from OQMD. Energies are from GGA-PBE.

Calculated values
Symmetry: Immm, No. 71
Total energy: -4.988 eV per atom

Cell lengths 4.6721, 4.6721, 4.6721 Å; angles 141.73, 110.45, 82.27 degrees
Atoms (fractional coordinates):
B: 0.5804 0.2470 0.3333
B: 0.0863 0.7530 0.3333
B: 0.9137 0.2470 0.6667
B: 0.4196 0.7530 0.6667
Ge: 0.0000 0.0000 0.0000
Zn: 0.5000 0.5000 0.0000